Record 1
This record from Alexandria via LeMat-Bulk describes Co3Ni11 after structural relaxation. The functional is PBE.

The structure in extended XYZ format:
```
14
Lattice="-2.0051 3.5988 5.5007 2.0051 -3.5988 5.5007 2.0051 3.5988 -5.5007" Properties=species:S:1:pos:R:3 pbc="T T T"
Co 0.0000 0.0000 0.0000
Co 0.0000 2.3111 0.0000
Co 0.0000 4.8865 0.0000
Ni 2.0051 2.4370 -3.1469
Ni 2.0051 1.2410 -1.1273
Ni 2.0051 1.2410 1.1273
Ni 2.0051 0.0000 3.4225
Ni 0.0000 1.1618 2.3537
Ni 0.0000 0.0000 5.5007
Ni 2.0051 2.4370 3.1469
Ni 0.0000 3.5988 2.0781
Ni 0.0000 2.3578 4.3734
Ni 0.0000 2.3578 6.6279
Ni 0.0000 1.1618 8.6476
```

The value obtained for the calculated volume is 11.34 Å³ per atom. For the total magnetic moment, the calculation gives 11.900 μB per formula unit. The uncorrected energy comes out at -82.5 eV per cell. The crystal system is orthorhombic. The formation energy comes out at 16.4 kJ per mole of atoms.


Record 2
This record from Alexandria via LeMat-Bulk describes YAlPS2 after structural relaxation. The functional is PBE.

The structure in extended XYZ format:
```
5
Lattice="4.6584 0.0000 0.0000 0.0000 4.6584 0.0000 0.0000 0.0000 4.6280" Properties=species:S:1:pos:R:3 pbc="T T T"
Y 0.0000 0.0000 0.0000
Al 2.3292 2.3292 2.3140
P 2.3292 2.3292 0.0000
S 0.0000 2.3292 2.3140
S 2.3292 0.0000 2.3140
```

As for the uncorrected formation energy: -3.35 eV/f.u. The value obtained for the calculated volume is 20.09 Å³ per atom. For the total magnetic moment, the calculation gives 0.000 μB per formula unit. The uncorrected energy comes out at -27.2 eV per cell. The calculation puts the excess energy over the best structure of this formula in the dataset at 0.0 meV/atom. The crystal system is tetragonal.


Record 3
This record from Alexandria via LeMat-Bulk describes TbPr15Y4 after structural relaxation. The functional is PBE.

The structure in extended XYZ format:
```
20
Lattice="5.2109 0.0000 0.0000 0.0000 5.2109 0.0000 0.0000 0.0000 25.9223" Properties=species:S:1:pos:R:3 pbc="T T T"
Tb 0.0000 0.0000 0.0000
Pr 0.0000 2.6054 2.5905
Pr 0.0000 2.6054 7.7797
Pr 0.0000 2.6054 12.9611
Pr 0.0000 2.6054 18.1425
Pr 0.0000 2.6054 23.3318
Pr 2.6054 0.0000 2.5905
Pr 2.6054 0.0000 7.7797
Pr 2.6054 0.0000 12.9611
Pr 2.6054 0.0000 18.1425
Pr 2.6054 0.0000 23.3318
Pr 2.6054 2.6054 0.0000
Pr 2.6054 2.6054 5.1876
Pr 2.6054 2.6054 10.3701
Pr 2.6054 2.6054 15.5522
Pr 2.6054 2.6054 20.7347
Y 0.0000 0.0000 5.1902
Y 0.0000 0.0000 10.3705
Y 0.0000 0.0000 15.5518
Y 0.0000 0.0000 20.7320
```

The value obtained for the calculated volume is 35.19 Å³ per atom. For the total magnetic moment, the calculation gives 0.000 μB per formula unit. The uncorrected energy comes out at -102.0 eV per cell. The crystal system is tetragonal. The formation energy comes out at 0.7 kJ per mole of atoms.


Record 4
This record from Alexandria via LeMat-Bulk describes Ag2P after structural relaxation. The functional is PBE.

The structure in extended XYZ format:
```
6
Lattice="-1.4205 1.4205 13.1537 1.4205 -1.4205 13.1537 1.4205 1.4205 -13.1537" Properties=species:S:1:pos:R:3 pbc="T T T"
Ag 1.4205 0.7102 1.2374
Ag 1.4205 0.7102 5.3394
Ag 0.0000 0.7102 7.8143
Ag 0.0000 0.7102 11.9162
P 1.4205 -0.7102 9.8652
P 0.0000 2.1307 3.2884
```

The value obtained for the calculated volume is 17.69 Å³ per atom. For the total magnetic moment, the calculation gives 0.000 μB per formula unit. The uncorrected energy comes out at -20.1 eV per cell. The calculation puts the excess energy over the best structure of this formula in the dataset at 188.4 meV/atom. The crystal system is tetragonal. The formation energy comes out at 34.5 kJ per mole of atoms.


Record 5
This record from Alexandria via LeMat-Bulk describes KBaYB2O6 after structural relaxation. The functional is PBE.

The structure in extended XYZ format:
```
11
Lattice="2.7423 1.5833 6.0347 -2.7423 1.5833 6.0347 0.0000 -3.1666 6.0347" Properties=species:S:1:pos:R:3 pbc="T T T"
K 0.0000 0.0000 0.0000
Ba 0.0000 0.0000 10.3116
Y 0.0000 0.0000 14.0459
B 0.0000 0.0000 3.3924
B 0.0000 0.0000 6.5985
O 0.0000 -1.3902 3.4015
O -1.2039 0.6951 3.4015
O -1.2074 -0.6971 6.6057
O 1.2039 0.6951 3.4015
O 1.2074 -0.6971 6.6057
O 0.0000 1.3941 6.6057
```

As for the uncorrected formation energy: -30.84 eV/f.u. The value obtained for the calculated volume is 14.29 Å³ per atom. For the total magnetic moment, the calculation gives 0.000 μB per formula unit. The uncorrected energy comes out at -83.4 eV per cell. The crystal system is trigonal.


Record 6
This record from Alexandria via LeMat-Bulk describes K3Ag after structural relaxation. The functional is PBE.

The structure in extended XYZ format:
```
8
Lattice="2.4666 -7.4094 0.0000 2.4666 7.4094 0.0000 0.0000 0.0000 11.0709" Properties=species:S:1:pos:R:3 pbc="T T T"
K 2.4666 6.3487 8.3032
K 2.4666 2.1912 6.2327
K 2.4666 2.1912 10.3737
K 2.4666 -2.1912 0.6972
K 2.4666 -2.1912 4.8382
K 2.4666 -6.3487 2.7677
Ag 2.4666 3.6473 2.7677
Ag 2.4666 -3.6473 8.3032
```

The value obtained for the calculated volume is 50.58 Å³ per atom. For the total magnetic moment, the calculation gives 0.000 μB per formula unit. The uncorrected energy comes out at -12.0 eV per cell. The calculation puts the excess energy over the best structure of this formula in the dataset at 2.0 meV/atom. The crystal system is orthorhombic. The formation energy comes out at 2.9 kJ per mole of atoms.